The following is a GGA-PBE calculation of a relaxed ErNpSi2O8 crystal, from Alexandria.

Lattice parameters (Å, degrees): 5.7751 5.7751 5.7751 106.65 106.65 115.27
Positions (direct):
Er1 0.0000 0.0000 0.0000
Np1 0.2500 0.7500 0.5000
Si1 0.5000 0.5000 0.0000
Si2 0.7500 0.2500 0.5000
O1 0.3299 0.1458 0.8159
O2 0.3299 0.5140 0.1841
O3 0.3957 0.0751 0.3206
O4 0.4860 0.6701 0.8159
O5 0.7545 0.0751 0.6794
O6 0.8542 0.6701 0.1841
O7 0.9249 0.2455 0.3206
O8 0.9249 0.6043 0.6794

SG: I-4m2
E_tot: -8.66 eV/atom
density of states at the Fermi level: 6.54 states/eV/f.u.